Density functional theory data (PBE with a Hubbard U) for a relaxed structure of LaMoPd2O.

Summary:
DOS(E_F) = 3.79 states/eV/cell
Electronic total energy = -3.958 eV/atom

Lattice parameters (Å, degrees): 5.060 5.060 6.277 90.00 90.00 90.00
Space group P4/mmm (No. 123)
Unique sites:
La (0.000, 0.000, 0.000) [1 per cell]
Mo (0.000, 0.000, 0.500) [1 per cell]
Pd (0.000, 0.500, 0.000) [2 per cell]
O (0.500, 0.500, 0.500) [1 per cell]